Entry from the Alexandria database: a relaxed structure of Ac2MoHO6 (GGA+U).

Cell and atoms, written as extended XYZ:
```
20
Lattice="-5.094 -4.419 1.277 5.665 -6.656 -0.438 -0.236 -0.544 5.213" Properties=species:S:1:pos:R:3 pbc="T T T"
Ac 0.236 -2.166 4.153
Ac -1.422 -5.010 2.125
Ac 0.099 -9.453 1.898
Ac 1.757 -6.610 3.926
O 1.717 -7.741 0.891
O -2.338 -7.279 5.604
O 0.908 -4.447 2.917
O 3.974 -7.724 4.938
O -0.573 -7.172 3.134
O -3.305 -6.411 3.152
O -1.382 -3.879 5.160
O -3.639 -3.895 1.113
O -1.685 -2.433 2.515
O 2.673 -4.341 0.447
O 2.020 -9.186 3.536
O 3.640 -5.208 2.899
Mo 2.714 -3.600 2.387
Mo -2.547 -2.210 0.638
H -2.665 -2.482 3.245
H 2.832 -3.328 -0.219
```

Values from the calculation:
The calculation puts the volume at 15.1 Å³/atom. As for the crystal system: monoclinic. The total energy comes out at -7.31 eV/atom. For the theoretical density, the calculation gives 7.11 g cm⁻³.